Here is a geometry-optimized KZnSi2 structure from Alexandria via LeMat-Bulk. Energies are from GGA-PBE.

* space-group type: Immm

Unit cell a=6.2420 b=6.2420 c=6.2420 alpha=154.94 beta=119.18 gamma=66.84
Element x y z (fractional)
Zn1 0.7500 0.2500 0.5000
Si1 0.9549 0.9549 0.0000
Si2 0.5451 0.5451 0.0000
K1 0.2500 0.7500 0.5000



Here is a geometry-optimized KZnSi2 structure from Alexandria via LeMat-Bulk. Energies are from GGA-PBE.

* space-group type: Cmmm

Unit cell a=5.8006 b=5.8006 c=2.6979 alpha=90.00 beta=90.00 gamma=119.31
Element x y z (fractional)
Si1 0.0000 0.0000 0.0000
Si2 0.5000 0.5000 0.0000
Zn1 0.5000 0.0000 0.5000
K1 0.0000 0.5000 0.5000



Here is a geometry-optimized KZn2Si2 structure from Alexandria via LeMat-Bulk. Energies are from GGA-PBE.

* energy relative to the lowest polymorph listed for this composition: 136 meV per atom
* space-group type: I4/mmm

Unit cell a=4.1977 b=4.1977 c=6.4007 alpha=70.86 beta=70.86 gamma=90.00
Element x y z (fractional)
Si1 0.7500 0.2500 0.5000
Si2 0.2500 0.7500 0.5000
Zn1 0.6153 0.6153 0.7695
Zn2 0.3847 0.3847 0.2305
K1 0.0000 0.0000 0.0000



Here is a geometry-optimized KZn2Si2 structure from Alexandria via LeMat-Bulk. Energies are from GGA-PBE.

* energy relative to the lowest polymorph listed for this composition: 265 meV per atom
* space-group type: P4/mbm

Unit cell a=8.2250 b=8.2250 c=2.8000 alpha=90.00 beta=90.00 gamma=90.00
Element x y z (fractional)
K1 0.5000 0.5000 0.0000
K2 0.0000 0.0000 0.0000
Zn1 0.6430 0.8570 0.5000
Zn2 0.1430 0.6430 0.5000
Zn3 0.3570 0.1430 0.5000
Zn4 0.8570 0.3570 0.5000
Si1 0.8560 0.6440 0.0000
Si2 0.3560 0.8560 0.0000
Si3 0.6440 0.1440 0.0000
Si4 0.1440 0.3560 0.0000



Here is a geometry-optimized KZnSi2 structure from Alexandria via LeMat-Bulk. Energies are from GGA-PBE.

* space-group type: Imm2

Unit cell a=5.7882 b=5.7882 c=5.7882 alpha=141.84 beta=112.35 gamma=80.41
Element x y z (fractional)
Zn1 0.5701 0.5701 0.0000
Si1 0.9205 0.9205 0.0000
Si2 0.7666 0.2666 0.5000
K1 0.2428 0.7428 0.5000



Here is a geometry-optimized KZnSi2 structure from Alexandria via LeMat-Bulk. Energies are from GGA-PBE.

* space-group type: P4mm

Unit cell a=3.3538 b=3.3538 c=7.7751 alpha=90.00 beta=90.00 gamma=90.00
Element x y z (fractional)
Si1 0.0000 0.0000 0.0935
Si2 0.5000 0.5000 0.2158
K1 0.5000 0.5000 0.7610
Zn1 0.0000 0.0000 0.4298



Here is a geometry-optimized KZnSi2 structure from Alexandria via LeMat-Bulk. Energies are from GGA-PBE.

* space-group type: I-4m2

Unit cell a=4.9342 b=4.9342 c=4.9342 alpha=121.45 beta=121.45 gamma=87.50
Element x y z (fractional)
K1 0.7500 0.2500 0.5000
Zn1 0.5000 0.5000 0.0000
Si1 0.2500 0.7500 0.5000
Si2 0.0000 0.0000 0.0000



Here is a geometry-optimized KZnSi2 structure from Alexandria via LeMat-Bulk. Energies are from GGA-PBE.

* space-group type: I4_1/amd

Unit cell a=4.9400 b=4.9400 c=9.2913 alpha=74.58 beta=74.58 gamma=90.00
Element x y z (fractional)
Si1 0.3750 0.1252 0.7500
Si2 0.8752 0.6250 0.2500
Si3 0.8748 0.1250 0.2500
Si4 0.8750 0.1248 0.7500
Zn1 0.7500 0.2500 0.5000
Zn2 0.0000 0.0000 0.0000
K1 0.5000 0.5000 0.0000
K2 0.2500 0.7500 0.5000



Here is a geometry-optimized KZnSi2 structure from Alexandria via LeMat-Bulk. Energies are from GGA-PBE.

* space-group type: Pm

Unit cell a=4.0446 b=2.8671 c=7.5598 alpha=90.08 beta=90.00 gamma=90.00
Element x y z (fractional)
Zn1 0.0000 0.2505 0.4445
K1 0.5000 0.7488 0.7559
Si1 0.0000 0.2496 0.0583
Si2 0.5000 0.2510 0.2414



Here is a geometry-optimized KZnSi2 structure from Alexandria via LeMat-Bulk. Energies are from GGA-PBE.

* space-group type: R-3m

Unit cell a=9.7897 b=9.7897 c=9.7897 alpha=18.03 beta=18.03 gamma=18.03
Element x y z (fractional)
Si1 0.9865 0.9865 0.9865
Si2 0.5135 0.5135 0.5135
Zn1 0.2500 0.2500 0.2500
K1 0.7500 0.7500 0.7500



Here is a geometry-optimized KZnSi2 structure from Alexandria via LeMat-Bulk. Energies are from GGA-PBE.

* space-group type: P4/mmm

Unit cell a=3.4391 b=3.4391 c=7.3142 alpha=90.00 beta=90.00 gamma=90.00
Element x y z (fractional)
Zn1 0.5000 0.5000 0.2500
K1 0.5000 0.5000 0.7500
Si1 0.0000 0.0000 0.4141
Si2 0.0000 0.0000 0.0859



Here is a geometry-optimized KZnSi2 structure from Alexandria via LeMat-Bulk. Energies are from GGA-PBE.

* space-group type: P4/mmm

Unit cell a=4.5519 b=4.2618 c=4.2618 alpha=90.00 beta=90.00 gamma=90.00
Element x y z (fractional)
Zn1 0.5000 0.5000 0.0000
Si1 0.0000 0.0000 0.0000
Si2 0.0000 0.5000 0.5000
K1 0.5000 0.0000 0.5000



Energy relative to the elements, uncorrected list, top to bottom, in eV per atom: 0.456 0.575 0.139 0.269 0.359 0.274 0.618 0.266 0.275 0.547 0.241 0.664